<w>
Computed, not measured: a geometry-optimized NaMnRu2 structure at the PBE level of DFT.

The structure in extended XYZ format:
```
8
Lattice="6.9517 0.0000 0.0000 0.0000 6.9517 0.0000 3.4758 3.4758 2.6715" Properties=species:S:1:pos:R:3 pbc="T T T"
Ru 5.6598 1.7379 0.6679
Ru 8.6896 9.1357 2.0036
Ru 5.2138 4.7677 2.0036
Ru 1.2919 5.2138 0.6679
Na 3.4758 6.9517 1.3357
Na 3.4758 3.4758 0.0000
Mn 0.0000 0.0000 0.0000
Mn 6.9517 3.4758 1.3357
```

Volume in Å³/cell: 129.1
SG: No. 122

---

<x>
Computed, not measured: a geometry-optimized NaMnRu2 structure at the PBE level of DFT.

The structure in extended XYZ format:
```
4
Lattice="4.1974 -0.7744 0.7166 1.1874 -2.8620 3.0216 1.7319 -3.7897 -1.1706" Properties=species:S:1:pos:R:3 pbc="T T T"
Ru 5.3376 -5.5696 1.9257
Ru 1.7792 -1.8565 0.6419
Na 0.0000 0.0000 0.0000
Mn 3.5584 -3.7131 1.2838
```

Volume in Å³/cell: 57.3
SG: No. 225

---

Of them, <x> has the highest stability.